# MgP2Ir (PBE, relaxed)
# D(E_F)	1.9	states/eV/f.u.
# energy of formation	-0.33	eV per atom
# total moment	0.00	μB per atom
data_MgP2Ir
_symmetry_space_group_name_H-M 'C 1 2/m 1'
_symmetry_Int_Tables_number 12
_cell_length_a 6.3205
_cell_length_b 3.6585
_cell_length_c 6.2471
_cell_angle_alpha 90.00
_cell_angle_beta 109.89
_cell_angle_gamma 90.00
loop_
_symmetry_equiv_pos_as_xyz
'x,y,z'
'-x,-y,-z'
'-x,y,-z'
'x,-y,z'
'x+1/2,y+1/2,z'
'-x+1/2,-y+1/2,-z'
'-x+1/2,y+1/2,-z'
'x+1/2,-y+1/2,z'
loop_
_atom_site_label
_atom_site_type_symbol
_atom_site_fract_x
_atom_site_fract_y
_atom_site_fract_z
Mg1 Mg 0.0000 0.0000 0.0000
P1 P 0.2340 0.0000 0.7019
Ir1 Ir 0.0000 0.5000 0.5000



# MgP2Ir (PBE, relaxed)
# D(E_F)	1.2	states/eV/f.u.
# energy of formation	-0.37	eV per atom
# total moment	0.00	μB per atom
data_MgP2Ir
_symmetry_space_group_name_H-M 'P 1 2/m 1'
_symmetry_Int_Tables_number 10
_cell_length_a 3.8625
_cell_length_b 3.9115
_cell_length_c 4.6060
_cell_angle_alpha 90.00
_cell_angle_beta 96.10
_cell_angle_gamma 90.00
loop_
_symmetry_equiv_pos_as_xyz
'x,y,z'
'-x,-y,-z'
'-x,y,-z'
'x,-y,z'
loop_
_atom_site_label
_atom_site_type_symbol
_atom_site_fract_x
_atom_site_fract_y
_atom_site_fract_z
Mg1 Mg 0.0000 0.0000 0.0000
P1 P 0.4464 0.5000 0.7690
Ir1 Ir 0.5000 0.0000 0.5000



# MgP2Ir (PBE, relaxed)
# D(E_F)	1.9	states/eV/f.u.
# energy of formation	-0.25	eV per atom
# total moment	0.00	μB per atom
data_MgP2Ir
_symmetry_space_group_name_H-M 'I -4 2 d'
_symmetry_Int_Tables_number 122
_symmetry_space_group_name_Hall 'I -4 2bw'
_cell_length_a 5.6872
_cell_length_b 5.6872
_cell_length_c 10.6291
_cell_angle_alpha 90.00
_cell_angle_beta 90.00
_cell_angle_gamma 90.00
loop_
_atom_site_label
_atom_site_type_symbol
_atom_site_fract_x
_atom_site_fract_y
_atom_site_fract_z
Mg1 Mg 0.0000 0.0000 0.0000
P1 P 0.2020 0.2500 0.6250
Ir1 Ir 0.0000 0.0000 0.5000



# MgP2Ir (PBE, relaxed)
# D(E_F)	1.7	states/eV/f.u.
# energy of formation	-0.04	eV per atom
# total moment	0.00	μB per atom
data_MgP2Ir
_symmetry_space_group_name_H-M 'C m m m'
_symmetry_Int_Tables_number 65
_symmetry_space_group_name_Hall '-C 2 2'
_cell_length_a 5.4348
_cell_length_b 6.9430
_cell_length_c 3.1035
_cell_angle_alpha 90.00
_cell_angle_beta 90.00
_cell_angle_gamma 90.00
loop_
_atom_site_label
_atom_site_type_symbol
_atom_site_fract_x
_atom_site_fract_y
_atom_site_fract_z
Mg1 Mg 0.0000 0.0000 0.0000
P1 P 0.2500 0.2500 0.5000
Ir1 Ir 0.0000 0.5000 0.0000



# Mg4PIr (PBE, relaxed)
# D(E_F)	1.7	states/eV/f.u.
# energy of formation	0.33	eV per atom
# total moment	0.00	μB per atom
data_Mg4PIr
_symmetry_space_group_name_H-M 'F -4 3 m'
_symmetry_Int_Tables_number 216
_symmetry_space_group_name_Hall 'F -4 2 3'
_cell_length_a 7.5775
_cell_length_b 7.5775
_cell_length_c 7.5775
_cell_angle_alpha 90.00
_cell_angle_beta 90.00
_cell_angle_gamma 90.00
loop_
_atom_site_label
_atom_site_type_symbol
_atom_site_fract_x
_atom_site_fract_y
_atom_site_fract_z
Mg1 Mg 0.1243 0.1243 0.3757
P1 P 0.0000 0.0000 0.0000
Ir1 Ir 0.2500 0.2500 0.7500



# MgP2Ir (PBE, relaxed)
# D(E_F)	2.3	states/eV/f.u.
# energy of formation	-0.06	eV per atom
# total moment	0.00	μB per atom
data_MgP2Ir
_symmetry_space_group_name_H-M 'P 4 m m'
_symmetry_Int_Tables_number 99
_cell_length_a 3.3952
_cell_length_b 3.3952
_cell_length_c 5.4580
_cell_angle_alpha 90.00
_cell_angle_beta 90.00
_cell_angle_gamma 90.00
loop_
_symmetry_equiv_pos_as_xyz
'x,y,z'
'-y,x,z'
'-x,-y,z'
'y,-x,z'
'-x,y,z'
'y,x,z'
'x,-y,z'
'-y,-x,z'
loop_
_atom_site_label
_atom_site_type_symbol
_atom_site_fract_x
_atom_site_fract_y
_atom_site_fract_z
Mg1 Mg 0.0000 0.0000 0.0000
P1 P 0.0000 0.0000 0.5155
P2 P 0.5000 0.5000 0.1887
Ir1 Ir 0.5000 0.5000 0.6316



# MgP2Ir (PBE, relaxed)
# D(E_F)	1.0	states/eV/f.u.
# energy of formation	-0.04	eV per atom
# total moment	0.00	μB per atom
data_MgP2Ir
_symmetry_space_group_name_H-M 'P 4/m m m'
_symmetry_Int_Tables_number 123
_symmetry_space_group_name_Hall '-P 4 2'
_cell_length_a 3.0004
_cell_length_b 3.0004
_cell_length_c 6.7679
_cell_angle_alpha 90.00
_cell_angle_beta 90.00
_cell_angle_gamma 90.00
loop_
_atom_site_label
_atom_site_type_symbol
_atom_site_fract_x
_atom_site_fract_y
_atom_site_fract_z
Mg1 Mg 0.0000 0.0000 0.0000
P1 P 0.5000 0.5000 0.2779
Ir1 Ir 0.0000 0.0000 0.5000



# MgP2Ir3 (PBE, relaxed)
# D(E_F)	1.4	states/eV/f.u.
# energy of formation	-0.49	eV per atom
# total moment	0.00	μB per atom
data_MgP2Ir3
_symmetry_space_group_name_H-M 'C 1 2/m 1'
_symmetry_Int_Tables_number 12
_cell_length_a 15.5985
_cell_length_b 3.9149
_cell_length_c 9.4582
_cell_angle_alpha 90.00
_cell_angle_beta 105.76
_cell_angle_gamma 90.00
loop_
_symmetry_equiv_pos_as_xyz
'x,y,z'
'-x,-y,-z'
'-x,y,-z'
'x,-y,z'
'x+1/2,y+1/2,z'
'-x+1/2,-y+1/2,-z'
'-x+1/2,y+1/2,-z'
'x+1/2,-y+1/2,z'
loop_
_atom_site_label
_atom_site_type_symbol
_atom_site_fract_x
_atom_site_fract_y
_atom_site_fract_z
Mg1 Mg 0.0000 0.0000 0.0000
Mg2 Mg 0.1697 0.0000 0.7210
P1 P 0.0492 0.5000 0.7783
P2 P 0.1383 0.5000 0.4570
P3 P 0.1898 0.0000 0.1331
Ir1 Ir 0.0000 0.5000 0.5000
Ir2 Ir 0.0217 0.0000 0.2996
Ir3 Ir 0.1234 0.5000 0.2032
Ir4 Ir 0.1833 0.5000 0.9434
Ir5 Ir 0.2146 0.0000 0.3999



# MgP2Ir (PBE, relaxed)
# D(E_F)	1.9	states/eV/f.u.
# energy of formation	-0.20	eV per atom
# total moment	0.00	μB per atom
data_MgP2Ir
_symmetry_space_group_name_H-M 'I m m 2'
_symmetry_Int_Tables_number 44
_cell_length_a 3.2329
_cell_length_b 3.4371
_cell_length_c 11.7349
_cell_angle_alpha 90.00
_cell_angle_beta 90.00
_cell_angle_gamma 90.00
loop_
_symmetry_equiv_pos_as_xyz
'x,y,z'
'-x,-y,z'
'-x,y,z'
'x,-y,z'
'x+1/2,y+1/2,z+1/2'
'-x+1/2,-y+1/2,z+1/2'
'-x+1/2,y+1/2,z+1/2'
'x+1/2,-y+1/2,z+1/2'
loop_
_atom_site_label
_atom_site_type_symbol
_atom_site_fract_x
_atom_site_fract_y
_atom_site_fract_z
Mg1 Mg 0.0000 0.0000 0.0000
P1 P 0.0000 0.0000 0.3939
P2 P 0.0000 0.5000 0.1736
Ir1 Ir 0.0000 0.5000 0.7444



# MgP4Ir (PBE, relaxed)
# D(E_F)	2.9	states/eV/f.u.
# energy of formation	0.58	eV per atom
# total moment	0.00	μB per atom
data_MgP4Ir
_symmetry_space_group_name_H-M 'F -4 3 m'
_symmetry_Int_Tables_number 216
_symmetry_space_group_name_Hall 'F -4 2 3'
_cell_length_a 7.1270
_cell_length_b 7.1270
_cell_length_c 7.1270
_cell_angle_alpha 90.00
_cell_angle_beta 90.00
_cell_angle_gamma 90.00
loop_
_atom_site_label
_atom_site_type_symbol
_atom_site_fract_x
_atom_site_fract_y
_atom_site_fract_z
Mg1 Mg 0.0000 0.0000 0.0000
P1 P 0.1269 0.1269 0.6269
Ir1 Ir 0.2500 0.2500 0.2500



# MgP2Ir (PBE, relaxed)
# D(E_F)	3.3	states/eV/f.u.
# energy of formation	0.28	eV per atom
# total moment	0.00	μB per atom
data_MgP2Ir
_symmetry_space_group_name_H-M 'F -4 3 m'
_symmetry_Int_Tables_number 216
_symmetry_space_group_name_Hall 'F -4 2 3'
_cell_length_a 6.2065
_cell_length_b 6.2065
_cell_length_c 6.2065
_cell_angle_alpha 90.00
_cell_angle_beta 90.00
_cell_angle_gamma 90.00
loop_
_atom_site_label
_atom_site_type_symbol
_atom_site_fract_x
_atom_site_fract_y
_atom_site_fract_z
Mg1 Mg 0.0000 0.0000 0.0000
P1 P 0.0000 0.0000 0.5000
P2 P 0.2500 0.2500 0.2500
Ir1 Ir 0.2500 0.2500 0.7500



# MgP2Ir (PBE, relaxed)
# D(E_F)	1.2	states/eV/f.u.
# energy of formation	0.01	eV per atom
# total moment	0.00	μB per atom
data_MgP2Ir
_symmetry_space_group_name_H-M 'P m m m'
_symmetry_Int_Tables_number 47
_cell_length_a 3.5196
_cell_length_b 3.8600
_cell_length_c 4.3377
_cell_angle_alpha 90.00
_cell_angle_beta 90.00
_cell_angle_gamma 90.00
loop_
_symmetry_equiv_pos_as_xyz
'x,y,z'
'-x,-y,-z'
'-x,-y,z'
'x,y,-z'
'x,-y,-z'
'-x,y,z'
'-x,y,-z'
'x,-y,z'
loop_
_atom_site_label
_atom_site_type_symbol
_atom_site_fract_x
_atom_site_fract_y
_atom_site_fract_z
Mg1 Mg 0.0000 0.0000 0.0000
P1 P 0.5000 0.0000 0.5000
P2 P 0.5000 0.5000 0.0000
Ir1 Ir 0.0000 0.5000 0.5000



# MgP2Ir (PBE, relaxed)
# D(E_F)	0.9	states/eV/f.u.
# energy of formation	-0.22	eV per atom
# total moment	0.00	μB per atom
data_MgP2Ir
_symmetry_space_group_name_H-M 'P 1 m 1'
_symmetry_Int_Tables_number 6
_cell_length_a 3.8469
_cell_length_b 4.3098
_cell_length_c 4.4250
_cell_angle_alpha 90.00
_cell_angle_beta 115.10
_cell_angle_gamma 90.00
loop_
_symmetry_equiv_pos_as_xyz
'x,y,z'
'x,-y,z'
loop_
_atom_site_label
_atom_site_type_symbol
_atom_site_fract_x
_atom_site_fract_y
_atom_site_fract_z
Mg1 Mg 0.0000 0.0000 0.0000
P1 P 0.3134 0.0000 0.5941
P2 P 0.7019 0.5000 0.4423
Ir1 Ir 0.4028 0.5000 0.8520



# Mg3PIr (PBE, relaxed)
# D(E_F)	3.4	states/eV/f.u.
# energy of formation	0.27	eV per atom
# total moment	0.00	μB per atom
data_Mg3PIr
_symmetry_space_group_name_H-M 'P m -3 m'
_symmetry_Int_Tables_number 221
_symmetry_space_group_name_Hall '-P 4 2 3'
_cell_length_a 4.7055
_cell_length_b 4.7055
_cell_length_c 4.7055
_cell_angle_alpha 90.00
_cell_angle_beta 90.00
_cell_angle_gamma 90.00
loop_
_atom_site_label
_atom_site_type_symbol
_atom_site_fract_x
_atom_site_fract_y
_atom_site_fract_z
Mg1 Mg 0.0000 0.0000 0.5000
P1 P 0.0000 0.0000 0.0000
Ir1 Ir 0.5000 0.5000 0.5000



# MgP2Ir (PBE, relaxed)
# D(E_F)	2.3	states/eV/f.u.
# energy of formation	-0.07	eV per atom
# total moment	0.00	μB per atom
data_MgP2Ir
_symmetry_space_group_name_H-M 'R 3 m'
_symmetry_Int_Tables_number 160
_symmetry_space_group_name_Hall 'R 3 -2"'
_cell_length_a 3.1151
_cell_length_b 3.1151
_cell_length_c 21.9696
_cell_angle_alpha 90.00
_cell_angle_beta 90.00
_cell_angle_gamma 120.00
loop_
_atom_site_label
_atom_site_type_symbol
_atom_site_fract_x
_atom_site_fract_y
_atom_site_fract_z
Mg1 Mg 0.0000 0.0000 0.0000
P1 P 0.0000 0.0000 0.4949
P2 P 0.0000 0.0000 0.7615
Ir1 Ir 0.0000 0.0000 0.2361



# Mg8P8Ir23 (PBE, relaxed)
# D(E_F)	22.6	states/eV/f.u.
# energy of formation	-0.39	eV per atom
# total moment	0.00	μB per atom
data_Mg8P8Ir23
_symmetry_space_group_name_H-M 'P 1 2/m 1'
_symmetry_Int_Tables_number 10
_cell_length_a 8.6208
_cell_length_b 3.9906
_cell_length_c 17.0394
_cell_angle_alpha 90.00
_cell_angle_beta 90.08
_cell_angle_gamma 90.00
loop_
_symmetry_equiv_pos_as_xyz
'x,y,z'
'-x,-y,-z'
'-x,y,-z'
'x,-y,z'
loop_
_atom_site_label
_atom_site_type_symbol
_atom_site_fract_x
_atom_site_fract_y
_atom_site_fract_z
Mg1 Mg 0.0923 0.0000 0.1055
Mg2 Mg 0.2098 0.0000 0.2902
Mg3 Mg 0.2936 0.0000 0.7949
Mg4 Mg 0.4070 0.0000 0.6102
P1 P 0.1346 0.5000 0.8804
P2 P 0.2425 0.5000 0.6876
P3 P 0.2579 0.5000 0.1848
P4 P 0.3682 0.5000 0.3781
Ir1 Ir 0.0000 0.0000 0.5000
Ir2 Ir 0.0000 0.5000 0.0000
Ir3 Ir 0.9999 0.5000 0.2373
Ir4 Ir 0.0963 0.0000 0.6533
Ir5 Ir 0.1016 0.5000 0.3957
Ir6 Ir 0.1960 0.5000 0.5509
Ir7 Ir 0.2119 0.0000 0.9525
Ir8 Ir 0.2952 0.0000 0.4524
Ir9 Ir 0.3086 0.5000 0.0489
Ir10 Ir 0.3991 0.0000 0.1531
Ir11 Ir 0.4073 0.5000 0.8972
Ir12 Ir 0.4987 0.5000 0.7386
Ir13 Ir 0.5000 0.5000 0.5000



# Mg2PIr3 (PBE, relaxed)
# D(E_F)	3.2	states/eV/f.u.
# energy of formation	-0.46	eV per atom
# total moment	0.00	μB per atom
data_Mg2PIr3
_symmetry_space_group_name_H-M 'R -3 m'
_symmetry_Int_Tables_number 166
_symmetry_space_group_name_Hall '-R 3 2"'
_cell_length_a 5.4163
_cell_length_b 5.4163
_cell_length_c 11.0320
_cell_angle_alpha 90.00
_cell_angle_beta 90.00
_cell_angle_gamma 120.00
loop_
_atom_site_label
_atom_site_type_symbol
_atom_site_fract_x
_atom_site_fract_y
_atom_site_fract_z
Mg1 Mg 0.0000 0.0000 0.1250
P1 P 0.0000 0.0000 0.5000
Ir1 Ir 0.0000 0.5000 0.0000



# MgP3Ir (PBE, relaxed)
# D(E_F)	4.9	states/eV/f.u.
# energy of formation	0.55	eV per atom
# total moment	0.00	μB per atom
data_MgP3Ir
_symmetry_space_group_name_H-M 'P m -3 m'
_symmetry_Int_Tables_number 221
_symmetry_space_group_name_Hall '-P 4 2 3'
_cell_length_a 4.6869
_cell_length_b 4.6869
_cell_length_c 4.6869
_cell_angle_alpha 90.00
_cell_angle_beta 90.00
_cell_angle_gamma 90.00
loop_
_atom_site_label
_atom_site_type_symbol
_atom_site_fract_x
_atom_site_fract_y
_atom_site_fract_z
Mg1 Mg 0.0000 0.0000 0.0000
P1 P 0.0000 0.5000 0.5000
Ir1 Ir 0.5000 0.5000 0.5000



# MgP2Ir (PBE, relaxed)
# D(E_F)	1.0	states/eV/f.u.
# energy of formation	-0.31	eV per atom
# total moment	0.00	μB per atom
data_MgP2Ir
_symmetry_space_group_name_H-M 'C 1 m 1'
_symmetry_Int_Tables_number 8
_cell_length_a 7.3626
_cell_length_b 3.6406
_cell_length_c 5.3695
_cell_angle_alpha 90.00
_cell_angle_beta 101.94
_cell_angle_gamma 90.00
loop_
_symmetry_equiv_pos_as_xyz
'x,y,z'
'x,-y,z'
'x+1/2,y+1/2,z'
'x+1/2,-y+1/2,z'
loop_
_atom_site_label
_atom_site_type_symbol
_atom_site_fract_x
_atom_site_fract_y
_atom_site_fract_z
Mg1 Mg 0.0000 0.0000 0.0000
P1 P 0.2486 0.0000 0.7129
P2 P 0.3921 0.0000 0.3503
Ir1 Ir 0.2075 0.5000 0.4017



# Mg2P2Ir (PBE, relaxed)
# D(E_F)	2.9	states/eV/f.u.
# energy of formation	-0.46	eV per atom
# total moment	0.00	μB per atom
data_Mg2P2Ir
_symmetry_space_group_name_H-M 'P 4/m b m'
_symmetry_Int_Tables_number 127
_symmetry_space_group_name_Hall '-P 4 2ab'
_cell_length_a 6.0130
_cell_length_b 6.0130
_cell_length_c 4.4948
_cell_angle_alpha 90.00
_cell_angle_beta 90.00
_cell_angle_gamma 90.00
loop_
_atom_site_label
_atom_site_type_symbol
_atom_site_fract_x
_atom_site_fract_y
_atom_site_fract_z
Mg1 Mg 0.1840 0.3160 0.0000
P1 P 0.1293 0.6293 0.5000
Ir1 Ir 0.0000 0.0000 0.5000